10
Lattice="6.500 0.000 0.000 0.000 6.500 0.000 0.000 0.000 5.296" Properties=species:S:1:pos:R:3 comment="Tl2Cu2Si | Alexandria via LeMat-Bulk | GGA-PBE | relaxed" volume_a3_per_atom=22.37 magnetic_moment_mub_per_cell=0.000 energy_ev_per_atom=-3.362 crystal_system=tetragonal pbc="T T T"
Tl 1.117 2.133 0.000
Tl 2.133 5.383 0.000
Tl 4.366 1.117 0.000
Tl 5.383 4.366 0.000
Cu 1.465 4.715 2.648
Cu 1.785 1.465 2.648
Cu 4.715 5.035 2.648
Cu 5.035 1.785 2.648
Si 0.000 0.000 2.648
Si 3.250 3.250 2.648

12
Lattice="4.735 -3.352 0.000 4.735 3.352 0.000 -2.991 0.000 5.777" Properties=species:S:1:pos:R:3 comment="SrReTcN3 | Alexandria via LeMat-Bulk | GGA-PBE | relaxed" volume_a3_per_atom=15.28 magnetic_moment_mub_per_cell=0.000 energy_ev_per_atom=-8.511 crystal_system=monoclinic pbc="T T T"
Sr 1.509 0.000 0.745
Sr 4.971 0.000 5.032
Re 1.761 0.000 4.154
Re 4.718 0.000 1.623
Tc 3.240 2.110 2.888
Tc 3.240 -2.110 2.888
N 0.017 0.000 3.420
N 3.754 1.507 1.076
N 2.726 1.507 4.700
N 3.754 -1.507 1.076
N 2.726 -1.507 4.700
N 6.462 0.000 2.357

3
Lattice="4.392 0.000 0.000 -2.196 3.804 0.000 0.000 0.000 2.937" Properties=species:S:1:pos:R:3 comment="HfCrW | Alexandria via LeMat-Bulk | GGA-PBE | relaxed" polymorph_energy_mev_per_atom=320 volume_a3_per_atom=16.36 magnetic_moment_mub_per_cell=0.000 crystal_system=trigonal ef_ev_per_fu=0.6 pbc="T T T"
Hf 0.000 0.000 0.000
Cr 0.000 2.536 1.923
W 2.196 1.268 1.144

5
Lattice="3.938 0.000 0.000 0.000 3.938 0.000 0.000 0.000 3.938" Properties=species:S:1:pos:R:3 comment="GaSbN3 | Alexandria via LeMat-Bulk | GGA-PBE | relaxed" volume_a3_per_atom=12.22 magnetic_moment_mub_per_cell=2.986 energy_ev_per_atom=-4.989 crystal_system=cubic pbc="T T T"
Ga 0.000 0.000 0.000
Sb 1.969 1.969 1.969
N 0.000 0.000 1.969
N 0.000 1.969 0.000
N 1.969 0.000 0.000

16
Lattice="6.805 0.000 0.000 0.000 6.805 0.000 0.000 0.000 6.805" Properties=species:S:1:pos:R:3 comment="ZrAs | Alexandria via LeMat-Bulk | GGA-PBE | relaxed" volume_a3_per_atom=19.69 magnetic_moment_mub_per_cell=5.788 crystal_system=cubic ef_ev_per_fu=-0.3 pbc="T T T"
Zr 0.851 0.851 0.851
Zr 0.851 4.253 4.253
Zr 2.552 2.552 5.954
Zr 2.552 5.954 2.552
Zr 4.253 0.851 4.253
Zr 4.253 4.253 0.851
Zr 5.954 2.552 2.552
Zr 5.954 5.954 5.954
As 0.851 0.851 4.253
As 0.851 4.253 0.851
As 2.552 2.552 2.552
As 2.552 5.954 5.954
As 4.253 0.851 0.851
As 4.253 4.253 4.253
As 5.954 2.552 5.954
As 5.954 5.954 2.552

8
Lattice="6.902 0.000 0.000 0.000 3.999 0.000 -2.305 0.000 6.508" Properties=species:S:1:pos:R:3 comment="DyHo2PuP4 | Alexandria via LeMat-Bulk | GGA-PBE | relaxed" volume_a3_per_atom=22.45 magnetic_moment_mub_per_cell=4.879 crystal_system=monoclinic ef_ev_per_fu=-11.9 pbc="T T T"
Dy 0.000 0.000 0.000
Ho 2.299 0.000 3.254
Ho 3.451 1.999 0.000
Pu -1.152 1.999 3.254
P -0.010 0.000 4.862
P 1.143 1.999 1.640
P 3.455 1.999 4.868
P 4.608 0.000 1.646